1.
Compound: Li2Tl2F
Source: Alexandria
Functional: PBE
Structure: optimized geometry

Results
polymorph energy (0 for the lowest one) = 0.205 eV/atom
ΔE_f (raw) = -942 meV per atom

a b c (Å): 5.026 5.175 5.200
angles (deg): 67.06 66.30 66.60
Fractional positions:
Tl1 0.391 0.353 0.523
Li1 0.104 0.215 0.218
Li2 0.921 0.930 0.931
Tl2 0.638 0.622 0.791
F1 0.018 0.910 0.231


2.
Compound: Li3TlF6
Source: Alexandria
Functional: PBE
Structure: optimized geometry

Results
polymorph energy (0 for the lowest one) = 0.052 eV/atom
ΔE_f (raw) = -2421 meV per atom

a b c (Å): 3.543 6.127 6.127
angles (deg): 113.71 90.00 90.00
Fractional positions:
F1 0.000 0.336 0.088
Li1 0.500 0.000 0.500
Li2 0.500 0.500 0.000
F2 0.000 0.664 0.912
Li3 0.000 0.000 0.000
F3 0.500 0.356 0.644
F4 0.000 0.912 0.664
F5 0.000 0.088 0.336
Tl1 0.000 0.500 0.500
F6 0.500 0.644 0.356


> Which value of ΔE_f (raw) does entry 1 give?

-942 meV per atom